Entry 1:
Entry from Alexandria via LeMat-Bulk: a PBEsol-optimized structure of NaMoP2O7 (meta-GGA SCAN).

a b c (Å): 7.435 8.085 9.772
angles (deg): 90.00 111.74 90.00
Element x y z (fractional)
Na (0.287, 0.982, 0.789)
Na (0.713, 0.482, 0.711)
Na (0.713, 0.018, 0.211)
Na (0.287, 0.518, 0.289)
Mo (0.258, 0.505, 0.749)
Mo (0.742, 0.005, 0.751)
Mo (0.742, 0.495, 0.251)
Mo (0.258, 0.995, 0.249)
P (0.672, 0.716, 0.956)
P (0.328, 0.216, 0.544)
P (0.328, 0.284, 0.044)
P (0.672, 0.784, 0.456)
P (0.075, 0.753, 0.959)
P (0.925, 0.253, 0.541)
P (0.925, 0.247, 0.041)
P (0.075, 0.747, 0.459)
O (0.874, 0.661, 0.942)
O (0.126, 0.161, 0.558)
O (0.126, 0.339, 0.058)
O (0.874, 0.839, 0.442)
O (0.369, 0.395, 0.600)
O (0.631, 0.895, 0.900)
O (0.631, 0.605, 0.400)
O (0.369, 0.105, 0.100)
O (0.188, 0.720, 0.623)
O (0.812, 0.220, 0.877)
O (0.812, 0.280, 0.377)
O (0.188, 0.780, 0.123)
O (0.977, 0.413, 0.632)
O (0.023, 0.913, 0.868)
O (0.023, 0.587, 0.368)
O (0.977, 0.087, 0.132)
O (0.537, 0.911, 0.355)
O (0.463, 0.411, 0.145)
O (0.463, 0.089, 0.645)
O (0.537, 0.589, 0.855)
O (0.308, 0.210, 0.382)
O (0.692, 0.710, 0.118)
O (0.692, 0.790, 0.618)
O (0.308, 0.290, 0.882)
O (0.177, 0.871, 0.399)
O (0.823, 0.371, 0.101)
O (0.823, 0.129, 0.601)
O (0.177, 0.629, 0.899)

- formation energy from raw total energies (meV/atom) = -2345
- Fermi-level density of states (states/eV per cell) = 0.000


Entry 2:
Entry from Alexandria via LeMat-Bulk: a PBEsol-optimized structure of NaMo3P2O14 (meta-GGA SCAN).

a b c (Å): 6.397 8.183 10.540
angles (deg): 110.87 90.00 90.00
Element x y z (fractional)
Na (0.750, 0.013, 0.781)
Na (0.250, 0.987, 0.219)
Mo (0.750, 0.239, 0.173)
Mo (0.250, 0.761, 0.827)
Mo (0.750, 0.667, 0.118)
Mo (0.250, 0.333, 0.882)
Mo (0.750, 0.252, 0.491)
Mo (0.250, 0.748, 0.509)
P (0.750, 0.621, 0.796)
P (0.250, 0.379, 0.204)
P (0.750, 0.654, 0.434)
P (0.250, 0.346, 0.566)
O (0.750, 0.431, 0.115)
O (0.250, 0.569, 0.885)
O (0.750, 0.066, 0.028)
O (0.250, 0.934, 0.972)
O (0.060, 0.260, 0.196)
O (0.940, 0.740, 0.804)
O (0.560, 0.740, 0.804)
O (0.440, 0.260, 0.196)
O (0.750, 0.129, 0.305)
O (0.250, 0.871, 0.695)
O (0.750, 0.100, 0.563)
O (0.250, 0.900, 0.437)
O (0.533, 0.790, 0.127)
O (0.467, 0.210, 0.873)
O (0.033, 0.210, 0.873)
O (0.967, 0.790, 0.127)
O (0.058, 0.273, 0.475)
O (0.942, 0.727, 0.525)
O (0.558, 0.727, 0.525)
O (0.442, 0.273, 0.475)
O (0.750, 0.463, 0.662)
O (0.250, 0.537, 0.338)
O (0.750, 0.552, 0.915)
O (0.250, 0.448, 0.085)
O (0.750, 0.724, 0.318)
O (0.250, 0.276, 0.682)
O (0.750, 0.454, 0.383)
O (0.250, 0.546, 0.617)

- formation energy from raw total energies (meV/atom) = -2264


Entry 3:
Entry from Alexandria via LeMat-Bulk: a PBEsol-optimized structure of NaMo2P2O9 (meta-GGA SCAN).

a b c (Å): 6.533 7.653 14.433
angles (deg): 90.00 90.00 90.00
Element x y z (fractional)
Na (0.750, 0.857, 0.778)
Na (0.750, 0.643, 0.278)
Na (0.250, 0.357, 0.722)
Na (0.250, 0.143, 0.222)
Mo (0.750, 0.350, 0.879)
Mo (0.250, 0.650, 0.121)
Mo (0.250, 0.850, 0.621)
Mo (0.750, 0.150, 0.379)
Mo (0.500, 0.000, 0.000)
Mo (0.500, 0.500, 0.500)
Mo (0.000, 0.500, 0.500)
Mo (0.000, 0.000, 0.000)
P (0.250, 0.355, 0.936)
P (0.750, 0.645, 0.064)
P (0.750, 0.855, 0.564)
P (0.250, 0.145, 0.436)
P (0.750, 0.402, 0.693)
P (0.750, 0.098, 0.193)
P (0.250, 0.902, 0.807)
P (0.250, 0.598, 0.307)
O (0.055, 0.587, 0.367)
O (0.555, 0.413, 0.633)
O (0.945, 0.087, 0.133)
O (0.445, 0.913, 0.867)
O (0.945, 0.413, 0.633)
O (0.445, 0.587, 0.367)
O (0.055, 0.913, 0.867)
O (0.555, 0.087, 0.133)
O (0.250, 0.326, 0.489)
O (0.750, 0.674, 0.511)
O (0.750, 0.826, 0.011)
O (0.250, 0.174, 0.989)
O (0.750, 0.134, 0.953)
O (0.250, 0.866, 0.047)
O (0.250, 0.634, 0.547)
O (0.750, 0.366, 0.453)
O (0.750, 0.229, 0.751)
O (0.250, 0.771, 0.249)
O (0.250, 0.729, 0.749)
O (0.750, 0.271, 0.251)
O (0.437, 0.141, 0.373)
O (0.937, 0.859, 0.627)
O (0.563, 0.641, 0.127)
O (0.063, 0.359, 0.873)
O (0.563, 0.859, 0.627)
O (0.063, 0.141, 0.373)
O (0.437, 0.359, 0.873)
O (0.937, 0.641, 0.127)
O (0.750, 0.502, 0.991)
O (0.250, 0.042, 0.728)
O (0.250, 0.458, 0.228)
O (0.750, 0.542, 0.772)
O (0.750, 0.998, 0.491)
O (0.250, 0.002, 0.509)
O (0.250, 0.498, 0.009)
O (0.750, 0.958, 0.272)

- formation energy from raw total energies (meV/atom) = -2259
- Fermi-level density of states (states/eV per cell) = 6.878


Entry 4:
Entry from Alexandria via LeMat-Bulk: a PBEsol-optimized structure of Na2YMoPO8 (meta-GGA SCAN).

a b c (Å): 6.878 11.332 11.332
angles (deg): 64.23 72.33 72.33
Element x y z (fractional)
Na (0.855, 0.707, 0.602)
Na (0.337, 0.207, 0.102)
Na (0.145, 0.293, 0.398)
Na (0.837, 0.102, 0.207)
Na (0.645, 0.398, 0.293)
Na (0.663, 0.793, 0.898)
Na (0.163, 0.898, 0.793)
Na (0.355, 0.602, 0.707)
Y (0.250, 0.821, 0.179)
Y (0.750, 0.179, 0.821)
Y (0.250, 0.321, 0.679)
Y (0.750, 0.679, 0.321)
Mo (0.178, 0.572, 0.072)
Mo (0.322, 0.928, 0.428)
Mo (0.822, 0.428, 0.928)
Mo (0.678, 0.072, 0.572)
P (0.250, 0.068, 0.932)
P (0.250, 0.568, 0.432)
P (0.750, 0.932, 0.068)
P (0.750, 0.432, 0.568)
O (0.330, 0.922, 0.940)
O (0.330, 0.651, 0.107)
O (0.170, 0.060, 0.078)
O (0.732, 0.601, 0.861)
O (0.692, 0.578, 0.560)
O (0.695, 0.899, 0.639)
O (0.308, 0.422, 0.440)
O (0.082, 0.140, 0.845)
O (0.088, 0.393, 0.849)
O (0.067, 0.655, 0.360)
O (0.670, 0.078, 0.060)
O (0.805, 0.361, 0.101)
O (0.412, 0.151, 0.607)
O (0.918, 0.860, 0.155)
O (0.567, 0.360, 0.655)
O (0.192, 0.560, 0.578)
O (0.582, 0.845, 0.140)
O (0.588, 0.849, 0.393)
O (0.808, 0.440, 0.422)
O (0.305, 0.101, 0.361)
O (0.232, 0.861, 0.601)
O (0.830, 0.940, 0.922)
O (0.670, 0.349, 0.893)
O (0.433, 0.640, 0.345)
O (0.830, 0.107, 0.651)
O (0.912, 0.607, 0.151)
O (0.170, 0.893, 0.349)
O (0.195, 0.639, 0.899)
O (0.768, 0.139, 0.399)
O (0.418, 0.155, 0.860)
O (0.268, 0.399, 0.139)
O (0.933, 0.345, 0.640)

- formation energy from raw total energies (meV/atom) = -2748
- Fermi-level density of states (states/eV per cell) = 0.000


Entry 5:
Entry from Alexandria via LeMat-Bulk: a PBEsol-optimized structure of RbNaMo3O10 (meta-GGA SCAN).

a b c (Å): 7.571 7.639 15.503
angles (deg): 90.00 90.00 90.00
Element x y z (fractional)
Rb (0.250, 0.360, 0.353)
Rb (0.750, 0.640, 0.647)
Rb (0.250, 0.860, 0.147)
Rb (0.750, 0.140, 0.853)
Na (0.250, 0.436, 0.724)
Na (0.750, 0.064, 0.224)
Na (0.250, 0.936, 0.776)
Na (0.750, 0.564, 0.276)
Mo (0.500, 0.393, 0.102)
Mo (0.250, 0.761, 0.556)
Mo (0.000, 0.607, 0.898)
Mo (0.750, 0.739, 0.056)
Mo (0.000, 0.393, 0.102)
Mo (0.750, 0.239, 0.444)
Mo (0.500, 0.607, 0.898)
Mo (0.250, 0.261, 0.944)
Mo (0.500, 0.107, 0.602)
Mo (0.500, 0.893, 0.398)
Mo (0.000, 0.893, 0.398)
Mo (0.000, 0.107, 0.602)
O (0.486, 0.843, 0.536)
O (0.014, 0.843, 0.536)
O (0.965, 0.000, 0.699)
O (0.970, 0.679, 0.369)
O (0.250, 0.056, 0.589)
O (0.535, 0.500, 0.801)
O (0.986, 0.657, 0.036)
O (0.250, 0.218, 0.834)
O (0.250, 0.062, 0.993)
O (0.535, 0.000, 0.699)
O (0.250, 0.890, 0.426)
O (0.250, 0.556, 0.911)
O (0.035, 0.500, 0.199)
O (0.530, 0.179, 0.131)
O (0.470, 0.321, 0.631)
O (0.250, 0.562, 0.507)
O (0.035, 0.000, 0.301)
O (0.014, 0.343, 0.964)
O (0.530, 0.679, 0.369)
O (0.465, 0.500, 0.199)
O (0.030, 0.321, 0.631)
O (0.750, 0.944, 0.411)
O (0.986, 0.157, 0.464)
O (0.514, 0.157, 0.464)
O (0.750, 0.438, 0.493)
O (0.750, 0.782, 0.166)
O (0.750, 0.282, 0.334)
O (0.465, 0.000, 0.301)
O (0.250, 0.718, 0.666)
O (0.486, 0.343, 0.964)
O (0.750, 0.444, 0.089)
O (0.970, 0.179, 0.131)
O (0.514, 0.657, 0.036)
O (0.250, 0.390, 0.074)
O (0.750, 0.610, 0.926)
O (0.750, 0.110, 0.574)
O (0.750, 0.938, 0.007)
O (0.030, 0.821, 0.869)
O (0.470, 0.821, 0.869)
O (0.965, 0.500, 0.801)

- formation energy from raw total energies (meV/atom) = -2196
- Fermi-level density of states (states/eV per cell) = 0.000


Entry 6:
Entry from Alexandria via LeMat-Bulk: a PBEsol-optimized structure of Na2Mo2Se2O11 (meta-GGA SCAN).

a b c (Å): 6.455 8.863 9.398
angles (deg): 112.92 90.00 111.35
Element x y z (fractional)
Na (0.000, 0.500, 0.000)
Na (0.500, 0.500, 0.500)
Na (0.242, 0.000, 0.250)
Na (0.758, 0.000, 0.750)
Mo (0.382, 0.207, 0.726)
Mo (0.175, 0.793, 0.774)
Mo (0.618, 0.793, 0.274)
Mo (0.825, 0.207, 0.226)
Se (0.921, 0.331, 0.608)
Se (0.590, 0.669, 0.892)
Se (0.079, 0.669, 0.392)
Se (0.410, 0.331, 0.108)
O (0.289, 0.116, 0.529)
O (0.173, 0.884, 0.971)
O (0.711, 0.884, 0.471)
O (0.827, 0.116, 0.029)
O (0.147, 0.222, 0.809)
O (0.925, 0.778, 0.691)
O (0.853, 0.778, 0.191)
O (0.075, 0.222, 0.309)
O (0.370, 0.000, 0.750)
O (0.630, 0.000, 0.250)
O (0.035, 0.545, 0.764)
O (0.490, 0.455, 0.736)
O (0.965, 0.455, 0.236)
O (0.510, 0.545, 0.264)
O (0.723, 0.240, 0.705)
O (0.483, 0.760, 0.795)
O (0.277, 0.760, 0.295)
O (0.517, 0.240, 0.205)
O (0.773, 0.354, 0.473)
O (0.419, 0.646, 0.027)
O (0.227, 0.646, 0.527)
O (0.581, 0.354, 0.973)

- formation energy from raw total energies (meV/atom) = -1734
- Fermi-level density of states (states/eV per cell) = 0.000